(1)
Computed, not measured: BaFeOs2 after structural relaxation at the GGA-PBEsol level of DFT.

a b c (Å): 6.3345 6.3345 6.3345
angles (deg): 39.05 39.05 39.05
Atoms (fractional coordinates):
Ba (0.0000, 0.0000, 0.0000)
Fe (0.5000, 0.5000, 0.5000)
Os (0.1863, 0.1863, 0.1863)
Os (0.8137, 0.8137, 0.8137)

Calculated values
- Total magnetization: 1.85 μB per formula unit
- Offset from the most stable computed form: 0.000 eV per formula unit
- Energy of formation: 0.467 eV/atom
- Volume: 91 Å³ per cell
- Space group: R-3m

(2)
Computed, not measured: KBa2Bi2 after structural relaxation at the GGA-PBEsol level of DFT.

a b c (Å): 8.2471 8.2471 8.2471
angles (deg): 138.45 138.45 60.21
Atoms (fractional coordinates):
K (0.0000, 0.0000, 0.0000)
Ba (0.2500, 0.7500, 0.5000)
Ba (0.7500, 0.2500, 0.5000)
Bi (0.3870, 0.3870, 0.0000)
Bi (0.6130, 0.6130, 0.0000)

Calculated values
- Total magnetization: 0.00 μB per formula unit
- Offset from the most stable computed form: 1.317 eV per formula unit
- Energy of formation: -0.484 eV/atom
- Volume: 244 Å³ per cell
- Space group: I4/mmm

(3)
Computed, not measured: Mn2P2O7 after structural relaxation at the GGA-PBEsol level of DFT.

a b c (Å): 5.3969 5.3969 4.5439
angles (deg): 97.80 97.80 104.54
Atoms (fractional coordinates):
Mn (0.1916, 0.8084, 0.0000)
Mn (0.8084, 0.1916, 0.0000)
P (0.2820, 0.2820, 0.5921)
P (0.7180, 0.7180, 0.4079)
O (0.1231, 0.1231, 0.2900)
O (0.1241, 0.4227, 0.7770)
O (0.4227, 0.1241, 0.7770)
O (0.5000, 0.5000, 0.5000)
O (0.5773, 0.8759, 0.2230)
O (0.8759, 0.5773, 0.2230)
O (0.8769, 0.8769, 0.7100)

Calculated values
- Total magnetization: 10.00 μB per formula unit
- Calculated total energy: -8.114 eV per atom
- Volume: 125 Å³ per cell
- Space group: C2/m

(4)
Computed, not measured: CdTc3W after structural relaxation at the GGA-PBEsol level of DFT.

a b c (Å): 4.6080 4.6080 4.6080
angles (deg): 90.00 90.00 90.00
Atoms (fractional coordinates):
Cd (0.0000, 0.0000, 0.0000)
Tc (0.0000, 0.0000, 0.5000)
Tc (0.0000, 0.5000, 0.0000)
Tc (0.5000, 0.0000, 0.0000)
W (0.5000, 0.5000, 0.5000)

Calculated values
- Total magnetization: 0.00 μB per formula unit
- Energy of formation: 2.986 eV/atom
- Volume: 98 Å³ per cell
- Space group: Pm-3m

(5)
Computed, not measured: Tl2ReOs after structural relaxation at the GGA-PBEsol level of DFT.

a b c (Å): 5.0185 5.0185 2.9514
angles (deg): 90.00 90.00 107.47
Atoms (fractional coordinates):
Tl (0.0000, 0.5000, 0.0000)
Tl (0.5000, 0.0000, 0.0000)
Re (0.0000, 0.0000, 0.5000)
Os (0.5000, 0.5000, 0.5000)

Calculated values
- Total magnetization: 0.01 μB per formula unit
- Offset from the most stable computed form: 0.662 eV per formula unit
- Energy of formation: 1.351 eV/atom
- Volume: 71 Å³ per cell
- Space group: Cmmm

(6)
Computed, not measured: Sr3GaBr after structural relaxation at the GGA-PBEsol level of DFT.

a b c (Å): 6.0679 6.0679 6.0679
angles (deg): 90.00 90.00 90.00
Atoms (fractional coordinates):
Sr (0.0000, 0.0000, 0.5000)
Sr (0.0000, 0.5000, 0.0000)
Sr (0.5000, 0.0000, 0.0000)
Ga (0.0000, 0.0000, 0.0000)
Br (0.5000, 0.5000, 0.5000)

Calculated values
- Total magnetization: 0.00 μB per formula unit
- Calculated total energy: -2.592 eV per atom
- Volume: 223 Å³ per cell
- Space group: Pm-3m

(7)
Computed, not measured: Tl2NiAs after structural relaxation at the GGA-PBEsol level of DFT.

a b c (Å): 3.9458 3.9458 7.2073
angles (deg): 105.98 105.98 60.07
Atoms (fractional coordinates):
Tl (0.0000, 0.0000, 0.0000)
Tl (0.2060, 0.2060, 0.6151)
Ni (0.4383, 0.4383, 0.3151)
As (0.7690, 0.7690, 0.3068)

Calculated values
- Total magnetization: 0.00 μB per formula unit
- Offset from the most stable computed form: 0.000 eV per formula unit
- Energy of formation: -0.057 eV/atom
- Volume: 92 Å³ per cell
- Space group: Cm

(8)
Computed, not measured: Sr3Cu8Sn4 after structural relaxation at the GGA-PBEsol level of DFT.

a b c (Å): 9.1920 9.1920 7.7967
angles (deg): 90.00 90.00 120.00
Atoms (fractional coordinates):
Sr (0.0521, 0.5260, 0.0000)
Sr (0.4740, 0.5260, 0.0000)
Sr (0.4740, 0.9479, 0.0000)
Sr (0.5260, 0.0521, 0.5000)
Sr (0.5260, 0.4740, 0.5000)
Sr (0.9479, 0.4740, 0.5000)
Cu (0.0000, 0.0000, 0.2717)
Cu (0.0000, 0.0000, 0.7717)
Cu (0.0976, 0.1951, 0.0185)
Cu (0.0976, 0.9024, 0.0185)
Cu (0.1604, 0.3209, 0.3240)
Cu (0.1604, 0.8396, 0.3240)
Cu (0.1951, 0.0976, 0.5185)
Cu (0.3209, 0.1604, 0.8240)
Cu (0.3333, 0.6667, 0.6684)
Cu (0.6667, 0.3333, 0.1684)
Cu (0.6791, 0.8396, 0.3240)
Cu (0.8049, 0.9024, 0.0185)
Cu (0.8396, 0.1604, 0.8240)
Cu (0.8396, 0.6791, 0.8240)
Cu (0.9024, 0.0976, 0.5185)
Cu (0.9024, 0.8049, 0.5185)
Sn (0.1658, 0.3315, 0.7021)
Sn (0.1658, 0.8342, 0.7021)
Sn (0.3315, 0.1658, 0.2021)
Sn (0.3333, 0.6667, 0.3225)
Sn (0.6667, 0.3333, 0.8225)
Sn (0.6685, 0.8342, 0.7021)
Sn (0.8342, 0.1658, 0.2021)
Sn (0.8342, 0.6685, 0.2021)

Calculated values
- Total magnetization: 0.00 μB per formula unit
- Energy of formation: -0.282 eV/atom
- Volume: 571 Å³ per cell
- Space group: P6_3mc

(9)
Computed, not measured: AlReHg2 after structural relaxation at the GGA-PBEsol level of DFT.

a b c (Å): 5.3296 5.3296 5.3296
angles (deg): 137.29 137.29 61.99
Atoms (fractional coordinates):
Al (0.0000, 0.0000, 0.0000)
Re (0.5000, 0.5000, 0.0000)
Hg (0.2500, 0.7500, 0.5000)
Hg (0.7500, 0.2500, 0.5000)

Calculated values
- Total magnetization: 0.09 μB per formula unit
- Energy of formation: 0.545 eV/atom
- Volume: 69 Å³ per cell
- Space group: I4/mmm

(10)
Computed, not measured: BeAs4Cl after structural relaxation at the GGA-PBEsol level of DFT.

a b c (Å): 5.5831 5.5831 5.5831
angles (deg): 60.00 60.00 60.00
Atoms (fractional coordinates):
Be (0.0000, 0.0000, 0.0000)
As (0.1626, 0.6125, 0.6125)
As (0.6125, 0.1626, 0.6125)
As (0.6125, 0.6125, 0.1626)
As (0.6125, 0.6125, 0.6125)
Cl (0.2500, 0.2500, 0.2500)

Calculated values
- Total magnetization: 0.00 μB per formula unit
- Calculated total energy: -3.868 eV per atom
- Volume: 123 Å³ per cell
- Space group: F-43m

(11)
Computed, not measured: Ni2IrOs after structural relaxation at the GGA-PBEsol level of DFT.

a b c (Å): 2.6539 4.3082 4.4524
angles (deg): 90.00 90.00 90.00
Atoms (fractional coordinates):
Ni (0.0000, 0.0000, 0.0000)
Ni (0.5000, 0.0000, 0.5000)
Ir (0.0000, 0.5000, 0.5000)
Os (0.5000, 0.5000, 0.0000)

Calculated values
- Total magnetization: 0.00 μB per formula unit
- Offset from the most stable computed form: 1.313 eV per formula unit
- Energy of formation: 0.340 eV/atom
- Volume: 51 Å³ per cell
- Space group: Pmmm

(12)
Computed, not measured: LaAg2As after structural relaxation at the GGA-PBEsol level of DFT.

a b c (Å): 5.6344 5.6344 5.6344
angles (deg): 135.72 135.05 64.93
Atoms (fractional coordinates):
La (0.0000, 0.0000, 0.0000)
Ag (0.2517, 0.7517, 0.5000)
Ag (0.7483, 0.2483, 0.5000)
As (0.5000, 0.5000, 0.0000)

Calculated values
- Total magnetization: 0.00 μB per formula unit
- Energy of formation: -0.412 eV/atom
- Volume: 87 Å³ per cell
- Space group: Immm

(13)
Computed, not measured: KCd2 after structural relaxation at the GGA-PBEsol level of DFT.

a b c (Å): 9.2730 9.2730 5.7587
angles (deg): 90.00 90.00 160.97
Atoms (fractional coordinates):
K (0.1179, 0.8821, 0.7500)
K (0.8821, 0.1179, 0.2500)
Cd (0.2086, 0.7914, 0.2500)
Cd (0.4491, 0.5509, 0.7500)
Cd (0.5509, 0.4491, 0.2500)
Cd (0.7914, 0.2086, 0.7500)

Calculated values
- Total magnetization: 0.00 μB per formula unit
- Energy of formation: 0.072 eV/atom
- Volume: 161 Å³ per cell
- Space group: Cmcm

(14)
Computed, not measured: BaTcPO2 after structural relaxation at the GGA-PBEsol level of DFT.

a b c (Å): 4.2252 4.2252 6.3849
angles (deg): 90.00 90.00 90.00
Atoms (fractional coordinates):
Ba (0.0000, 0.0000, 0.0000)
Tc (0.5000, 0.5000, 0.5000)
P (0.0000, 0.0000, 0.5000)
O (0.0000, 0.5000, 0.0000)
O (0.5000, 0.0000, 0.0000)

Calculated values
- Total magnetization: 3.97 μB per formula unit
- Calculated total energy: -5.100 eV per atom
- Volume: 114 Å³ per cell
- Space group: P4/mmm

(15)
Computed, not measured: TaPBr2 after structural relaxation at the GGA-PBEsol level of DFT.

a b c (Å): 3.6743 3.6743 7.5507
angles (deg): 90.00 90.00 90.00
Atoms (fractional coordinates):
Ta (0.0000, 0.0000, 0.0000)
P (0.5000, 0.5000, 0.0000)
Br (0.0000, 0.5000, 0.5000)
Br (0.5000, 0.0000, 0.5000)

Calculated values
- Total magnetization: 1.50 μB per formula unit
- Offset from the most stable computed form: 3.854 eV per formula unit
- Volume: 102 Å³ per cell
- Space group: P4/mmm

(16)
Computed, not measured: Zr3CrCd after structural relaxation at the GGA-PBEsol level of DFT.

a b c (Å): 4.7751 4.7751 4.7751
angles (deg): 90.00 90.00 90.00
Atoms (fractional coordinates):
Zr (0.0000, 0.0000, 0.5000)
Zr (0.0000, 0.5000, 0.0000)
Zr (0.5000, 0.0000, 0.0000)
Cr (0.0000, 0.0000, 0.0000)
Cd (0.5000, 0.5000, 0.5000)

Calculated values
- Total magnetization: 0.00 μB per formula unit
- Energy of formation: 0.459 eV/atom
- Volume: 109 Å³ per cell
- Space group: Pm-3m

(17)
Computed, not measured: NaBe2NbHg after structural relaxation at the GGA-PBEsol level of DFT.

a b c (Å): 4.4056 4.4056 4.8428
angles (deg): 90.00 90.00 90.00
Atoms (fractional coordinates):
Na (0.0000, 0.0000, 0.0000)
Be (0.0000, 0.5000, 0.5000)
Be (0.5000, 0.0000, 0.5000)
Nb (0.5000, 0.5000, 0.0000)
Hg (0.0000, 0.0000, 0.5000)

Calculated values
- Total magnetization: 1.82 μB per formula unit
- Energy of formation: 1.270 eV/atom
- Volume: 94 Å³ per cell
- Space group: P4/mmm

(18)
Computed, not measured: Cs3NiB after structural relaxation at the GGA-PBEsol level of DFT.

a b c (Å): 6.0975 6.0975 6.0975
angles (deg): 90.00 90.00 90.00
Atoms (fractional coordinates):
Cs (0.0000, 0.0000, 0.5000)
Cs (0.0000, 0.5000, 0.0000)
Cs (0.5000, 0.0000, 0.0000)
Ni (0.5000, 0.5000, 0.5000)
B (0.0000, 0.0000, 0.0000)

Calculated values
- Total magnetization: 0.72 μB per formula unit
- Energy of formation: 1.339 eV/atom
- Volume: 227 Å³ per cell
- Space group: Pm-3m

(19)
Computed, not measured: SiNiW after structural relaxation at the GGA-PBEsol level of DFT.

a b c (Å): 5.0881 5.0881 5.0881
angles (deg): 147.75 147.75 46.25
Atoms (fractional coordinates):
Si (0.0000, 0.0000, 0.0000)
Ni (0.3744, 0.3744, 0.0000)
W (0.6862, 0.6862, 0.0000)

Calculated values
- Total magnetization: 0.00 μB per formula unit
- Calculated total energy: -8.725 eV per atom
- Volume: 37 Å³ per cell
- Space group: I4mm

(20)
Computed, not measured: CaScB3 after structural relaxation at the GGA-PBEsol level of DFT.

a b c (Å): 4.3963 4.3963 4.3963
angles (deg): 90.00 90.00 90.00
Atoms (fractional coordinates):
Ca (0.0000, 0.0000, 0.0000)
Sc (0.5000, 0.5000, 0.5000)
B (0.0000, 0.5000, 0.5000)
B (0.5000, 0.0000, 0.5000)
B (0.5000, 0.5000, 0.0000)

Calculated values
- Total magnetization: 0.70 μB per formula unit
- Energy of formation: 1.275 eV/atom
- Volume: 85 Å³ per cell
- Space group: Pm-3m

(21)
Computed, not measured: NiH2SeS after structural relaxation at the GGA-PBEsol level of DFT.

a b c (Å): 3.4388 3.4388 4.8307
angles (deg): 90.00 90.00 90.00
Atoms (fractional coordinates):
Ni (0.0000, 0.0000, 0.0000)
H (0.0000, 0.5000, 0.0000)
H (0.5000, 0.0000, 0.0000)
Se (0.0000, 0.0000, 0.5000)
S (0.5000, 0.5000, 0.5000)

Calculated values
- Total magnetization: 0.00 μB per formula unit
- Calculated total energy: -3.874 eV per atom
- Volume: 57 Å³ per cell
- Space group: P4/mmm

(22)
Computed, not measured: BaY2Ir2 after structural relaxation at the GGA-PBEsol level of DFT.

a b c (Å): 6.7414 6.7414 6.7414
angles (deg): 139.45 139.45 58.69
Atoms (fractional coordinates):
Ba (0.0000, 0.0000, 0.0000)
Y (0.2500, 0.7500, 0.5000)
Y (0.7500, 0.2500, 0.5000)
Ir (0.3904, 0.3904, 0.0000)
Ir (0.6096, 0.6096, 0.0000)

Calculated values
- Total magnetization: 0.00 μB per formula unit
- Energy of formation: -0.488 eV/atom
- Volume: 128 Å³ per cell
- Space group: I4/mmm

(23)
Computed, not measured: KLiNi2Te after structural relaxation at the GGA-PBEsol level of DFT.

a b c (Å): 4.4935 4.4935 5.9626
angles (deg): 90.00 90.00 90.00
Atoms (fractional coordinates):
K (0.0000, 0.0000, 0.0000)
Li (0.5000, 0.5000, 0.5000)
Ni (0.0000, 0.5000, 0.0000)
Ni (0.5000, 0.0000, 0.0000)
Te (0.0000, 0.0000, 0.5000)

Calculated values
- Total magnetization: 0.29 μB per formula unit
- Calculated total energy: -2.364 eV per atom
- Volume: 120 Å³ per cell
- Space group: P4/mmm

(24)
Computed, not measured: BaGeOs3 after structural relaxation at the GGA-PBEsol level of DFT.

a b c (Å): 4.6795 4.6795 4.6795
angles (deg): 90.00 90.00 90.00
Atoms (fractional coordinates):
Ba (0.0000, 0.0000, 0.0000)
Ge (0.5000, 0.5000, 0.5000)
Os (0.0000, 0.5000, 0.5000)
Os (0.5000, 0.0000, 0.5000)
Os (0.5000, 0.5000, 0.0000)

Calculated values
- Total magnetization: 1.26 μB per formula unit
- Energy of formation: 1.423 eV/atom
- Volume: 102 Å³ per cell
- Space group: Pm-3m

(25)
Computed, not measured: NaLi2BO3 after structural relaxation at the GGA-PBEsol level of DFT.

a b c (Å): 4.9127 12.0193 9.5401
angles (deg): 90.00 105.76 90.00
Atoms (fractional coordinates):
Na (0.0287, 0.1965, 0.3232)
Na (0.0287, 0.3035, 0.8232)
Na (0.3503, 0.6204, 0.6115)
Na (0.3503, 0.8796, 0.1115)
Na (0.6497, 0.1204, 0.8885)
Na (0.6497, 0.3796, 0.3885)
Na (0.9713, 0.6965, 0.1768)
Na (0.9713, 0.8035, 0.6768)
Li (0.1861, 0.1483, 0.0587)
Li (0.1861, 0.3517, 0.5587)
Li (0.2238, 0.1530, 0.6437)
Li (0.2238, 0.3470, 0.1437)
Li (0.2410, 0.5039, 0.9793)
Li (0.2410, 0.9961, 0.4793)
Li (0.4764, 0.6022, 0.2021)
Li (0.4764, 0.8978, 0.7021)
Li (0.5236, 0.1022, 0.2979)
Li (0.5236, 0.3978, 0.7979)
Li (0.7590, 0.0039, 0.5207)
Li (0.7590, 0.4961, 0.0207)
Li (0.7762, 0.6530, 0.8563)
Li (0.7762, 0.8470, 0.3563)
Li (0.8139, 0.6483, 0.4413)
Li (0.8139, 0.8517, 0.9413)
B (0.0449, 0.0227, 0.7803)
B (0.0449, 0.4773, 0.2803)
B (0.3606, 0.7111, 0.9224)
B (0.3606, 0.7889, 0.4224)
B (0.6394, 0.2111, 0.5776)
B (0.6394, 0.2889, 0.0776)
B (0.9551, 0.5227, 0.7197)
B (0.9551, 0.9773, 0.2197)
O (0.1059, 0.7413, 0.9467)
O (0.1059, 0.7587, 0.4467)
O (0.1382, 0.5080, 0.1591)
O (0.1382, 0.9920, 0.6591)
O (0.1663, 0.1152, 0.8592)
O (0.1663, 0.3848, 0.3592)
O (0.1772, 0.0351, 0.1923)
O (0.1772, 0.4649, 0.6923)
O (0.4667, 0.7348, 0.3188)
O (0.4667, 0.7652, 0.8188)
O (0.4762, 0.1259, 0.4968)
O (0.4762, 0.3741, 0.9968)
O (0.5238, 0.6259, 0.0032)
O (0.5238, 0.8741, 0.5032)
O (0.5333, 0.2348, 0.1812)
O (0.5333, 0.2652, 0.6812)
O (0.8228, 0.5351, 0.3077)
O (0.8228, 0.9649, 0.8077)
O (0.8337, 0.6152, 0.6408)
O (0.8337, 0.8848, 0.1408)
O (0.8618, 0.0080, 0.3409)
O (0.8618, 0.4920, 0.8409)
O (0.8941, 0.2413, 0.5533)
O (0.8941, 0.2587, 0.0533)

Calculated values
- Total magnetization: 0.00 μB per formula unit
- Calculated total energy: -6.197 eV per atom
- Volume: 542 Å³ per cell
- Space group: P2_1/c